Computed, not measured: a geometry-optimized Pm2Ge3Pt5 structure at the PBE level of DFT.

As for the density of states at the Fermi level: 0.481 states/eV per atom. The calculation puts the energy of formation at -0.8555 eV/atom. For the energy above the most stable polymorph in this dataset, the calculation gives 0.0481 eV per atom. As for the spin magnetization: 0.000 Bohr magnetons per cell. Its volume is 370.83 Å³/cell.

Cell lengths 4.4061, 7.0175, 12.1941 Å; angles 90.00, 100.41, 90.00 degrees
Element x y z (fractional)
Ge (0.2263, 0.1719, 0.4526)
Ge (0.3982, 0.0958, 0.7964)
Ge (0.7737, 0.6719, 0.5474)
Ge (0.0541, 0.9534, 0.1082)
Ge (0.6018, 0.5958, 0.2036)
Ge (0.9459, 0.4534, 0.8918)
Pt (0.1233, 0.2352, 0.2467)
Pt (0.2720, 0.4870, 0.5440)
Pt (0.6892, 0.3902, 0.3784)
Pt (0.8767, 0.7352, 0.7533)
Pt (0.3108, 0.8902, 0.6216)
Pt (0.0505, 0.5611, 0.1009)
Pt (0.9495, 0.0611, 0.8991)
Pt (0.7280, 0.9870, 0.4560)
Pt (0.3895, 0.4663, 0.7791)
Pt (0.6105, 0.9663, 0.2209)
Pm (0.5221, 0.2624, 0.0442)
Pm (0.1749, 0.7415, 0.3499)
Pm (0.8251, 0.2415, 0.6501)
Pm (0.4779, 0.7624, 0.9558)

Computed, not measured: a geometry-optimized ZrCdOs structure at the PBE level of DFT.

As for the density of states at the Fermi level: 0.498 states/eV per atom. The calculation puts the energy of formation at -0.1150 eV/atom. For the energy above the most stable polymorph in this dataset, the calculation gives 0.0000 eV per atom. As for the spin magnetization: 0.000 Bohr magnetons per cell. Its volume is 226.65 Å³/cell.

Cell lengths 3.2944, 14.7482, 4.6648 Å; angles 90.00, 90.00, 90.00 degrees
Element x y z (fractional)
Cd (0.0000, 0.5000, 0.4069)
Cd (0.0000, 0.0000, 0.9069)
Cd (0.5000, 0.0000, 0.3958)
Cd (0.5000, 0.5000, 0.8958)
Zr (0.0000, 0.6727, 0.0146)
Zr (0.0000, 0.8273, 0.5146)
Zr (0.0000, 0.3273, 0.0146)
Zr (0.0000, 0.1727, 0.5146)
Os (0.5000, 0.6751, 0.5181)
Os (0.5000, 0.8249, 0.0181)
Os (0.5000, 0.3249, 0.5181)
Os (0.5000, 0.1751, 0.0181)